No. 1
Density functional theory data (SCAN) for Na2YHgSb at its PBEsol-relaxed geometry.

Unit cell a=5.1439 b=5.1439 c=5.7985 alpha=90.00 beta=90.00 gamma=90.00
With the nearest neighbours (Å) after each atom.
Fractional positions:
Na 0.5000 0.0000 0.0000  2 Hg 2.57
Sb 0.5000 0.5000 0.5000  4 Y 3.64, 8 Na 3.88
Y 0.0000 0.0000 0.5000  2 Hg 2.90
Na 0.0000 0.5000 0.0000  2 Hg 2.57
Hg 0.0000 0.0000 0.0000  4 Na 2.57

The uncorrected formation energy is -0.106 eV per atom. As for the crystal system: tetragonal. The size of the total moment comes out at 0.000 μB/atom. As for the space group: P4/mmm (123).

=====

No. 2
Density functional theory data (SCAN) for CoNiBr2 at its PBEsol-relaxed geometry.

Unit cell a=3.6352 b=3.6352 c=6.9310 alpha=90.11 beta=90.11 gamma=59.98
With the nearest neighbours (Å) after each atom.
Fractional positions:
Ni 0.2919 0.2919 0.4556  3 Co 2.37, 3 Br 2.46
Co 0.6249 0.6249 0.2965  3 Ni 2.37, 4 Br 2.39-2.48
Br 0.6255 0.6255 0.6418  1 Co 2.39, 3 Ni 2.46
Br 0.9577 0.9577 0.1061  3 Co 2.48

The uncorrected formation energy is 0.006 eV per atom. As for the crystal system: monoclinic. The size of the total moment comes out at 0.750 μB/atom. The relative energy among the computed polymorphs comes out at 0.000 eV/atom. As for the space group: Cm (8).

=====

No. 3
Density functional theory data (SCAN) for Li2TiNi2O5 at its PBEsol-relaxed geometry.

Unit cell a=4.9769 b=5.0203 c=7.6327 alpha=83.74 beta=70.97 gamma=70.47
With the nearest neighbours (Å) after each atom.
Fractional positions:
O 0.6405 0.7540 0.2081  1 Ti 1.94, 2 Li 2.01-2.10, 3 Ni 2.04-2.10
Li 0.5037 0.0000 0.9927  6 O 2.01-2.10
Ni 0.3951 0.5000 0.2098  6 O 1.98-2.10
Ti 0.6040 0.5000 0.7919  6 O 1.95-2.05
Li 0.6990 0.0000 0.6020  6 O 2.03-2.06
O 0.7510 0.2544 0.9965  4 Ni 2.03-2.10, 1 Ti 2.05, 1 Li 2.06
O 0.3569 0.2652 0.8027  1 Ti 1.95, 3 Li 2.01-2.06, 2 Ni 2.02-2.14
O 0.2524 0.7456 0.9965  4 Ni 2.03-2.10, 1 Ti 2.05, 1 Li 2.06
Li 0.1996 0.5000 0.6007  6 O 2.04-2.07
O 0.1514 0.2460 0.2081  1 Ti 1.94, 2 Li 2.01-2.10, 3 Ni 2.04-2.10
O 0.4524 0.7496 0.6010  2 Ti 1.99-2.09, 1 Ni 2.01, 3 Li 2.03-2.05
Li 0.8004 0.5000 0.3992  6 O 2.01-2.13
Ni 0.1027 0.0000 0.7946  6 O 2.01-2.14
Ni 0.8972 0.0000 0.2056  6 O 1.99-2.10
O 0.5413 0.2376 0.3968  1 Ti 1.95, 2 Ni 1.98-1.99, 3 Li 2.06-2.13
O 0.8404 0.7348 0.8027  1 Ti 1.95, 3 Li 2.01-2.06, 2 Ni 2.02-2.14
O 0.9466 0.2504 0.6010  2 Ti 1.99-2.09, 1 Ni 2.01, 3 Li 2.03-2.05
O 0.0619 0.7624 0.3968  1 Ti 1.95, 2 Ni 1.98-1.99, 3 Li 2.06-2.13
Ni 0.9996 0.5000 0.0008  6 O 2.02-2.10
Ti 0.3042 0.0000 0.3917  6 O 1.94-2.09

The uncorrected formation energy is -2.214 eV per atom. As for the crystal system: monoclinic. The size of the total moment comes out at 0.400 μB/atom. The relative energy among the computed polymorphs comes out at 0.005 eV/atom. As for the space group: C2 (5).

=====

No. 4
Density functional theory data (SCAN) for Al2Ag at its PBEsol-relaxed geometry.

Unit cell a=5.0617 b=6.2703 c=6.2703 alpha=85.60 beta=82.46 gamma=82.46
With the nearest neighbours (Å) after each atom.
Fractional positions:
Al 0.7533 0.7469 0.7469  9 Al 2.77-2.93, 3 Ag 2.80
Al 0.2572 0.5784 0.9175  4 Ag 2.73-2.93, 8 Al 2.77-2.93
Ag 0.2388 0.2566 0.2566  7 Al 2.73-2.84, 5 Ag 2.87-2.93
Al 0.9939 0.3325 0.6703  8 Al 2.77-2.97, 4 Ag 2.77-2.83
Al 0.5058 0.8406 0.1655  7 Al 2.77-2.97, 5 Ag 2.78-2.94
Al 0.5058 0.1655 0.8406  7 Al 2.77-2.97, 5 Ag 2.78-2.94
Ag 0.7422 0.4251 0.0813  8 Al 2.78-2.93, 4 Ag 2.91-2.97
Ag 0.7422 0.0813 0.4251  8 Al 2.78-2.93, 4 Ag 2.91-2.97
Al 0.2572 0.9175 0.5784  4 Ag 2.73-2.93, 8 Al 2.77-2.93
Al 0.9939 0.6703 0.3325  8 Al 2.77-2.97, 4 Ag 2.77-2.83
Al 0.4880 0.4969 0.4969  3 Ag 2.73-2.79, 9 Al 2.80-2.94
Ag 0.0216 0.9886 0.9886  9 Al 2.73-2.94, 3 Ag 2.87-2.97

As for the formation energy: -0.037 eV per atom. As for the crystal system: monoclinic. The size of the total moment comes out at 0.003 μB/atom. As for the space group: Cm (8).

=====

No. 5
Density functional theory data (SCAN) for CoOsBr at its PBEsol-relaxed geometry.

Unit cell a=2.8641 b=2.8641 c=5.8491 alpha=104.17 beta=104.17 gamma=90.00
With the nearest neighbours (Å) after each atom.
Fractional positions:
Br 0.9956 0.9956 0.9912  4 Os 2.83, 4 Br 2.86, 4 Co 2.94
Co 0.6892 0.6892 0.3785  4 Os 2.45
Os 0.3152 0.3152 0.6304  4 Co 2.45

The uncorrected formation energy is 1.156 eV per atom. As for the crystal system: tetragonal. The size of the total moment comes out at 0.000 μB/atom. As for the space group: I4mm (107).

=====

No. 6
Density functional theory data (SCAN) for LiZn4Au at its PBEsol-relaxed geometry.

Unit cell a=4.9551 b=4.9551 c=4.9551 alpha=60.00 beta=60.00 gamma=60.00
With the nearest neighbours (Å) after each atom.
Fractional positions:
Li 0.0000 0.0000 0.0000  12 Zn 2.91, 4 Au 3.03
Au 0.7500 0.7500 0.7500  12 Zn 2.91, 4 Li 3.03
Zn 0.3751 0.3751 0.3751  6 Zn 2.48
Zn 0.3751 0.3751 0.8748  6 Zn 2.48
Zn 0.8748 0.3751 0.3751  6 Zn 2.48
Zn 0.3751 0.8748 0.3751  6 Zn 2.48

As for the formation energy: -0.285 eV per atom. As for the crystal system: cubic. The size of the total moment comes out at 0.000 μB/atom. As for the space group: F-43m (216).

=====

No. 7
Density functional theory data (SCAN) for Hf2CrGe2 at its PBEsol-relaxed geometry.

Unit cell a=3.8341 b=6.5269 c=6.5269 alpha=90.00 beta=90.00 gamma=90.00
With the nearest neighbours (Å) after each atom.
Fractional positions:
Ge 0.0000 0.3638 0.8638  1 Ge 2.51, 2 Cr 2.54, 6 Hf 2.61-2.79
Ge 0.0000 0.6362 0.1362  1 Ge 2.51, 2 Cr 2.54, 6 Hf 2.61-2.79
Cr 0.0000 0.5000 0.5000  4 Ge 2.54
Ge 0.0000 0.1362 0.3638  1 Ge 2.51, 2 Cr 2.54, 6 Hf 2.61-2.79
Hf 0.5000 0.8280 0.3280  6 Ge 2.61-2.79
Hf 0.5000 0.1720 0.6720  6 Ge 2.61-2.79
Hf 0.5000 0.3280 0.1720  6 Ge 2.61-2.79
Ge 0.0000 0.8638 0.6362  1 Ge 2.51, 2 Cr 2.54, 6 Hf 2.61-2.79
Cr 0.0000 0.0000 0.0000  4 Ge 2.54
Hf 0.5000 0.6720 0.8280  6 Ge 2.61-2.79

As for the formation energy: -0.548 eV per atom. As for the crystal system: tetragonal. The size of the total moment comes out at 0.000 μB/atom. As for the space group: P4/mbm (127).

=====

No. 8
Density functional theory data (SCAN) for LaAg2Mo at its PBEsol-relaxed geometry.

Unit cell a=2.8792 b=2.8792 c=9.1967 alpha=90.00 beta=90.00 gamma=90.00
With the nearest neighbours (Å) after each atom.
Fractional positions:
Mo 0.5000 0.5000 0.7811  4 Ag 2.85, 4 Mo 2.88
Ag 0.5000 0.5000 0.2178  8 Ag 2.86-2.88
La 0.0000 0.0000 0.5026  4 La 2.88
Ag 0.0000 0.0000 0.9986  4 Mo 2.85, 8 Ag 2.86-2.88

As for the formation energy: 0.400 eV per atom. As for the crystal system: tetragonal. The size of the total moment comes out at 0.000 μB/atom. The relative energy among the computed polymorphs comes out at 0.000 eV/atom. As for the space group: P4mm (99).

=====

No. 9
Density functional theory data (SCAN) for Al2ZnInGe at its PBEsol-relaxed geometry.

Unit cell a=4.7985 b=5.1565 c=5.1565 alpha=90.00 beta=90.00 gamma=90.00
With the nearest neighbours (Å) after each atom.
Fractional positions:
Al 0.0000 0.5000 0.0000  2 In 2.58
Al 0.0000 0.0000 0.5000  2 In 2.58
Zn 0.5000 0.0000 0.0000  2 In 2.40
Ge 0.5000 0.5000 0.5000  8 Al 3.52, 4 Zn 3.65
In 0.0000 0.0000 0.0000  2 Zn 2.40, 4 Al 2.58

As for the formation energy: 0.950 eV per atom. As for the crystal system: tetragonal. The size of the total moment comes out at 0.000 μB/atom. As for the space group: P4/mmm (123).

=====

No. 10
Density functional theory data (SCAN) for ReTe2Au at its PBEsol-relaxed geometry.

Unit cell a=3.1962 b=4.3520 c=6.7914 alpha=108.69 beta=103.61 gamma=90.00
With the nearest neighbours (Å) after each atom.
Fractional positions:
Re 0.2713 0.7713 0.5426  6 Te 2.65-2.77
Au 0.5656 0.5656 0.1313  6 Te 2.92-3.11, 2 Re 3.02, 2 Au 3.20
Te 0.7217 0.2217 0.4435  4 Re 2.77, 2 Au 2.92
Te 0.9413 0.9413 0.8826  2 Re 2.65

The uncorrected formation energy is 0.552 eV per atom. As for the crystal system: orthorhombic. The size of the total moment comes out at 0.000 μB/atom. The relative energy among the computed polymorphs comes out at 0.000 eV/atom. As for the space group: Imm2 (44).

=====

No. 11
Density functional theory data (SCAN) for Ti2AlCdFe at its PBEsol-relaxed geometry.

Unit cell a=4.3912 b=4.3912 c=4.5418 alpha=90.00 beta=90.00 gamma=90.00
With the nearest neighbours (Å) after each atom.
Fractional positions:
Ti 0.5000 0.0000 0.0000  2 Fe 2.20
Ti 0.0000 0.5000 0.0000  2 Fe 2.20
Fe 0.0000 0.0000 0.0000  4 Ti 2.20, 2 Al 2.27
Al 0.0000 0.0000 0.5000  2 Fe 2.27
Cd 0.5000 0.5000 0.5000  4 Al 3.11, 8 Ti 3.16

As for the formation energy: 0.173 eV per atom. As for the crystal system: tetragonal. The size of the total moment comes out at 0.000 μB/atom. As for the space group: P4/mmm (123).

=====

No. 12
Density functional theory data (SCAN) for HfGe3Os at its PBEsol-relaxed geometry.

Unit cell a=4.7208 b=4.7208 c=4.7208 alpha=90.00 beta=90.00 gamma=90.00
With the nearest neighbours (Å) after each atom.
Fractional positions:
Hf 0.5000 0.5000 0.5000  12 Ge 3.34
Os 0.0000 0.0000 0.0000  6 Ge 2.36
Ge 0.5000 0.0000 0.0000  2 Os 2.36
Ge 0.0000 0.0000 0.5000  2 Os 2.36
Ge 0.0000 0.5000 0.0000  2 Os 2.36

As for the formation energy: 0.722 eV per atom. As for the crystal system: cubic. The size of the total moment comes out at 0.000 μB/atom. As for the space group: Pm-3m (221).

=====

No. 13
Density functional theory data (SCAN) for CsAlRe3 at its PBEsol-relaxed geometry.

Unit cell a=4.8486 b=4.8486 c=4.8486 alpha=90.00 beta=90.00 gamma=90.00
With the nearest neighbours (Å) after each atom.
Fractional positions:
Re 0.0000 0.0000 0.5000  2 Cs 2.42
Cs 0.0000 0.0000 0.0000  6 Re 2.42
Re 0.5000 0.0000 0.0000  2 Cs 2.42
Re 0.0000 0.5000 0.0000  2 Cs 2.42
Al 0.5000 0.5000 0.5000  12 Re 3.43

As for the formation energy: 4.294 eV per atom. As for the crystal system: cubic. The size of the total moment comes out at 0.712 μB/atom. As for the space group: Pm-3m (221).

=====

No. 14
Density functional theory data (SCAN) for LiScOs2 at its PBEsol-relaxed geometry.

Unit cell a=2.7270 b=4.8408 c=5.1643 alpha=116.39 beta=102.77 gamma=95.27
With the nearest neighbours (Å) after each atom.
Fractional positions:
Os 0.0000 0.0000 0.5000  2 Li 2.64, 2 Sc 2.64, 6 Os 2.67-2.89
Sc 0.5000 0.0000 0.0000  4 Os 2.64, 4 Li 2.67-2.89, 2 Sc 2.73
Os 0.5000 0.5000 0.5000  2 Sc 2.64, 2 Li 2.64, 6 Os 2.67-2.89
Li 0.0000 0.5000 0.0000  4 Os 2.64, 4 Sc 2.67-2.89, 2 Li 2.73

As for the formation energy: -0.022 eV per atom. As for the crystal system: monoclinic. The size of the total moment comes out at 0.000 μB/atom. The relative energy among the computed polymorphs comes out at 0.000 eV/atom. As for the space group: C2/m (12).

=====

Computed final energy (eV/cell) in order:
-142.23 -72.37 -212.91 -187.93 -105.17 -127.32 -369.30 -139.12 -76.74 -212.55 -87.49 -188.21 -237.38 -160.47